{"formula": "Hf15SiO32", "functional": "PBE", "state": "relaxed", "lattice": [[6.916, 0.000, 0.000], [0.330, 7.584, 0.000], [0.209, 0.489, 10.167]], "species": ["Hf", "Hf", "Hf", "Hf", "Hf", "Hf", "Hf", "Hf", "Hf", "Hf", "Hf", "Hf", "Hf", "Hf", "Hf", "O", "O", "O", "O", "O", "O", "O", "O", "O", "O", "O", "O", "O", "O", "O", "O", "O", "O", "O", "O", "O", "O", "O", "O", "O", "O", "O", "O", "O", "O", "O", "O", "Si"], "fractional_positions": [[0.368, 0.878, 0.113], [0.868, 0.917, 0.137], [0.867, 0.375, 0.140], [0.369, 0.421, 0.171], [0.125, 0.119, 0.376], [0.622, 0.680, 0.377], [0.100, 0.626, 0.405], [0.617, 0.166, 0.405], [0.867, 0.904, 0.628], [0.866, 0.378, 0.638], [0.366, 0.420, 0.669], [0.125, 0.111, 0.864], [0.617, 0.672, 0.870], [0.614, 0.167, 0.903], [0.095, 0.613, 0.907], [0.824, 0.588, 0.008], [0.906, 0.163, 0.010], [0.412, 0.647, 0.029], [0.143, 0.419, 0.046], [0.590, 0.324, 0.055], [0.140, 0.954, 0.224], [0.594, 0.879, 0.232], [0.837, 0.128, 0.262], [0.896, 0.695, 0.265], [0.388, 0.191, 0.283], [0.342, 0.642, 0.283], [0.649, 0.436, 0.286], [0.081, 0.382, 0.291], [0.683, 0.913, 0.472], [0.064, 0.870, 0.475], [0.358, 0.063, 0.512], [0.900, 0.173, 0.515], [0.832, 0.602, 0.518], [0.388, 0.697, 0.536], [0.150, 0.419, 0.540], [0.583, 0.351, 0.543], [0.171, 0.927, 0.713], [0.564, 0.872, 0.714], [0.843, 0.107, 0.761], [0.889, 0.700, 0.768], [0.389, 0.191, 0.771], [0.655, 0.424, 0.787], [0.074, 0.374, 0.787], [0.342, 0.617, 0.792], [0.656, 0.909, 0.980], [0.087, 0.856, 0.987], [0.342, 0.097, 0.998], [0.369, 0.887, 0.618]], "magnetic_moment_mub_per_cell": 0.0, "e_above_lowest_polymorph_ev_per_atom": 0.017}


{"formula": "CsLaZnTe3", "functional": "PBE", "state": "relaxed", "lattice": [[-8.473, 4.661, -7.504], [-2.895, -3.337, 1.196], [-5.947, 9.730, 12.759]], "species": ["Cs", "Cs", "Cs", "Cs", "La", "La", "La", "La", "Te", "Te", "Te", "Te", "Te", "Te", "Te", "Te", "Te", "Te", "Te", "Te", "Zn", "Zn", "Zn", "Zn"], "fractional_positions": [[0.768, 0.250, 0.005], [0.268, 0.250, 0.495], [0.732, 0.750, 0.505], [0.232, 0.750, 0.995], [0.491, 0.750, 0.244], [0.991, 0.750, 0.256], [0.009, 0.250, 0.744], [0.509, 0.250, 0.756], [0.419, 0.250, 0.122], [0.056, 0.250, 0.131], [0.744, 0.750, 0.191], [0.244, 0.750, 0.309], [0.556, 0.250, 0.369], [0.919, 0.250, 0.378], [0.081, 0.750, 0.622], [0.444, 0.750, 0.631], [0.756, 0.250, 0.691], [0.256, 0.250, 0.809], [0.944, 0.750, 0.869], [0.581, 0.750, 0.878], [0.242, 0.250, 0.212], [0.742, 0.250, 0.288], [0.258, 0.750, 0.712], [0.758, 0.750, 0.788]], "magnetic_moment_mub_per_cell": 0.0, "dft_energy_ev_per_fu": -23.5}


{"formula": "SmMgAgTeS2", "functional": "PBE", "state": "relaxed", "lattice": [[1.761, 0.371, -6.892], [-5.143, -0.243, 4.922], [0.062, 11.089, 0.612]], "species": ["Ag", "Ag", "Mg", "Mg", "S", "S", "S", "S", "Sm", "Sm", "Te", "Te"], "fractional_positions": [[0.494, 0.506, 0.250], [0.506, 0.494, 0.750], [0.806, 0.194, 0.250], [0.194, 0.806, 0.750], [0.369, 0.631, 0.084], [0.369, 0.631, 0.416], [0.631, 0.369, 0.584], [0.631, 0.369, 0.916], [0.000, 0.000, 0.000], [0.000, 0.000, 0.500], [0.137, 0.863, 0.250], [0.863, 0.137, 0.750]], "magnetic_moment_mub_per_cell": 0.0, "dft_energy_ev_per_fu": -26.7}


{"formula": "Cu2SbPd", "functional": "PBE", "state": "relaxed", "lattice": [[-4.227, -1.365, 0.069], [-2.110, -0.501, 3.878], [-3.228, 2.826, 1.154]], "species": ["Cu", "Cu", "Pd", "Sb"], "fractional_positions": [[0.000, 0.000, 0.000], [0.750, 0.750, 0.750], [0.250, 0.250, 0.250], [0.500, 0.500, 0.500]], "dft_energy_ev_per_fu": -17.1}


{"formula": "LuSnNO", "functional": "PBE", "state": "relaxed", "lattice": [[2.257, 2.163, 1.206], [4.205, -3.717, -1.206], [0.668, 2.777, -6.230]], "species": ["Lu", "Lu", "N", "N", "O", "O", "Sn", "Sn"], "fractional_positions": [[0.000, 0.541, 0.416], [0.000, 0.041, 0.584], [0.000, 0.891, 0.281], [0.000, 0.391, 0.719], [0.500, 0.302, 0.387], [0.500, 0.802, 0.613], [0.500, 0.020, 0.125], [0.500, 0.520, 0.875]], "magnetic_moment_mub_per_cell": 0.0, "e_above_lowest_polymorph_ev_per_atom": 0.000}


{"formula": "Nb2Ag2O5", "functional": "PBE", "state": "relaxed", "lattice": [[7.656, 0.000, 0.000], [0.000, 3.993, 0.000], [0.000, 0.000, 3.993]], "species": ["Ag", "Ag", "Nb", "Nb", "O", "O", "O", "O", "O"], "fractional_positions": [[0.000, 0.000, 0.000], [0.500, 0.000, 0.000], [0.242, 0.500, 0.500], [0.758, 0.500, 0.500], [0.230, 0.500, 0.000], [0.770, 0.500, 0.000], [0.230, 0.000, 0.500], [0.770, 0.000, 0.500], [0.500, 0.500, 0.500]], "magnetic_moment_mub_per_cell": 0.1, "e_above_lowest_polymorph_ev_per_atom": 0.000}